(1)
TbHo3Bi2 | PBE | optimized geometry

abc: 9.5139 9.5139 9.9620
angles: 113.03 113.03 26.18
Sites, in units of the cell vectors:
Tb1 0.1102 0.1102 0.1104
Tb2 0.8898 0.8898 0.8896
Ho1 0.0562 0.0562 0.6698
Ho2 0.3119 0.3119 0.1091
Ho3 0.3603 0.3603 0.5218
Ho4 0.6397 0.6397 0.4782
Ho5 0.6881 0.6881 0.8909
Ho6 0.9438 0.9438 0.3302
Bi1 0.2512 0.2512 0.7160
Bi2 0.4914 0.4914 0.1576
Bi3 0.5086 0.5086 0.8424
Bi4 0.7488 0.7488 0.2840

Results
Energy of formation from the pure elements in eV per atom: -0.4733
Energy above the most stable polymorph in this dataset in eV/atom: 0.1031

=====

(2)
BaCaHgCl6 | PBE | optimized geometry

abc: 7.0370 7.0370 13.4901
angles: 90.00 90.00 120.00
Sites, in units of the cell vectors:
Ba1 0.0000 0.0000 0.0000
Ba2 0.0000 0.0000 0.5000
Ca1 0.3333 0.6667 0.2500
Ca2 0.6667 0.3333 0.7500
Hg1 0.3333 0.6667 0.7500
Hg2 0.6667 0.3333 0.2500
Cl1 0.0036 0.3626 0.6349
Cl2 0.0036 0.6410 0.8651
Cl3 0.3590 0.3626 0.8651
Cl4 0.3590 0.9964 0.6349
Cl5 0.3626 0.0036 0.1349
Cl6 0.3626 0.3590 0.3651
Cl7 0.6374 0.6410 0.6349
Cl8 0.6374 0.9964 0.8651
Cl9 0.6410 0.0036 0.3651
Cl10 0.6410 0.6374 0.1349
Cl11 0.9964 0.3590 0.1349
Cl12 0.9964 0.6374 0.3651

=====

(3)
BaTaP2Br | PBE | optimized geometry

abc: 5.3581 5.3581 6.3513
angles: 90.00 90.00 90.00
Sites, in units of the cell vectors:
Ba1 0.0000 0.0000 0.0000
Ta1 0.0000 0.0000 0.5000
P1 0.0000 0.5000 0.0000
P2 0.5000 0.0000 0.0000
Br1 0.5000 0.5000 0.5000

=====

no.,electronic total energy (eV for the cell shown),spin magnetization (μB/cell)
1,-57.93,0.0
2,-63.20,0.0
3,-15.39,0.6